1.
Entry from Alexandria via LeMat-Bulk: a PBEsol-optimized structure of RbLiI2 (SCAN).

E in eV for the cell shown: -409.92
Formation energy (no corrections) in meV per atom: -1467

```
data_RbLiI2
_chemical_formula_sum 'Rb4 Li4 I8'
_cell_length_a 8.2974
_cell_length_b 8.2974
_cell_length_c 8.8988
_cell_angle_alpha 90.00
_cell_angle_beta 90.00
_cell_angle_gamma 90.00
_space_group_name_H-M_alt 'I -4 2 d'
_space_group_IT_number 122
_space_group_name_Hall 'I -4 2bw'
loop_
_atom_site_label
_atom_site_type_symbol
_atom_site_fract_x
_atom_site_fract_y
_atom_site_fract_z
Rb1 Rb 0.0000 0.0000 0.0000
Li1 Li 0.0000 0.0000 0.5000
I1 I 0.1712 0.7500 0.6250
```



2.
Entry from Alexandria via LeMat-Bulk: a PBEsol-optimized structure of BaSbTe2Rh (SCAN).

E in eV for the cell shown: -178.40
Formation energy (no corrections) in meV per atom: 1337

```
data_BaSbTe2Rh
_chemical_formula_sum 'Ba1 Sb1 Te2 Rh1'
_cell_length_a 6.1794
_cell_length_b 6.1794
_cell_length_c 6.0612
_cell_angle_alpha 90.00
_cell_angle_beta 90.00
_cell_angle_gamma 90.00
_space_group_name_H-M_alt 'P 4/m m m'
_space_group_IT_number 123
_space_group_name_Hall '-P 4 2'
loop_
_atom_site_label
_atom_site_type_symbol
_atom_site_fract_x
_atom_site_fract_y
_atom_site_fract_z
Ba1 Ba 0.0000 0.0000 0.0000
Sb1 Sb 0.0000 0.0000 0.5000
Te1 Te 0.0000 0.5000 0.0000
Rh1 Rh 0.5000 0.5000 0.5000
```



3.
Entry from Alexandria via LeMat-Bulk: a PBEsol-optimized structure of Sr6CaY2TiCu6Hg2O20 (SCAN).

E in eV for the cell shown: -651.33
Formation energy (no corrections) in meV per atom: -2214

```
data_Sr6CaY2TiCu6Hg2O20
_chemical_formula_sum 'Sr6 Ca1 Y2 Ti1 Cu6 Hg2 O20'
_cell_length_a 3.7179
_cell_length_b 11.4065
_cell_length_c 11.8760
_cell_angle_alpha 90.00
_cell_angle_beta 90.00
_cell_angle_gamma 90.00
_space_group_name_H-M_alt 'P m m m'
_space_group_IT_number 47
loop_
_space_group_symop_operation_xyz
'x,y,z'
'-x,-y,-z'
'-x,-y,z'
'x,y,-z'
'x,-y,-z'
'-x,y,z'
'-x,y,-z'
'x,-y,z'
loop_
_atom_site_label
_atom_site_type_symbol
_atom_site_fract_x
_atom_site_fract_y
_atom_site_fract_z
Sr1 Sr 0.0000 0.0000 0.2236
Sr2 Sr 0.0000 0.3378 0.2062
Ca1 Ca 0.0000 0.0000 0.5000
Y1 Y 0.0000 0.3319 0.5000
Ti1 Ti 0.5000 0.5000 0.0000
Cu1 Cu 0.5000 0.1665 0.3664
Cu2 Cu 0.5000 0.5000 0.3658
Hg1 Hg 0.5000 0.1714 0.0000
O1 O 0.0000 0.1719 0.3751
O2 O 0.0000 0.3865 0.0000
O3 O 0.0000 0.5000 0.3778
O4 O 0.5000 0.0000 0.3684
O5 O 0.5000 0.1657 0.1693
O6 O 0.5000 0.3338 0.3768
O7 O 0.5000 0.5000 0.1580
```



4.
Entry from Alexandria via LeMat-Bulk: a PBEsol-optimized structure of ScPBr2 (SCAN).

E in eV for the cell shown: -267.06
Formation energy (no corrections) in meV per atom: -802

```
data_ScPBr2
_chemical_formula_sum 'Sc4 P4 Br8'
_cell_length_a 9.4603
_cell_length_b 9.4603
_cell_length_c 5.1536
_cell_angle_alpha 90.00
_cell_angle_beta 90.00
_cell_angle_gamma 90.00
_space_group_name_H-M_alt 'I -4 2 d'
_space_group_IT_number 122
_space_group_name_Hall 'I -4 2bw'
loop_
_atom_site_label
_atom_site_type_symbol
_atom_site_fract_x
_atom_site_fract_y
_atom_site_fract_z
Sc1 Sc 0.0000 0.0000 0.0000
P1 P 0.0000 0.0000 0.5000
Br1 Br 0.1093 0.2500 0.1250
```



5.
Entry from Alexandria via LeMat-Bulk: a PBEsol-optimized structure of Li2CdIn (SCAN).

E in eV for the cell shown: -69.92
ΔH_f (0 K) in eV/atom: -0.335

```
data_Li2CdIn
_chemical_formula_sum 'Li2 Cd1 In1'
_cell_length_a 3.4041
_cell_length_b 3.4041
_cell_length_c 6.2111
_cell_angle_alpha 90.00
_cell_angle_beta 90.00
_cell_angle_gamma 90.00
_space_group_name_H-M_alt 'P 4/m m m'
_space_group_IT_number 123
_space_group_name_Hall '-P 4 2'
loop_
_atom_site_label
_atom_site_type_symbol
_atom_site_fract_x
_atom_site_fract_y
_atom_site_fract_z
Li1 Li 0.0000 0.0000 0.2484
Cd1 Cd 0.5000 0.5000 0.0000
In1 In 0.5000 0.5000 0.5000
```



6.
Entry from Alexandria via LeMat-Bulk: a PBEsol-optimized structure of TcHg3 (SCAN).

E in eV for the cell shown: -946.44
ΔH_f (0 K) in eV/atom: 0.737

```
data_TcHg3
_chemical_formula_sum 'Tc4 Hg12'
_cell_length_a 6.6691
_cell_length_b 6.6691
_cell_length_c 6.6691
_cell_angle_alpha 90.00
_cell_angle_beta 90.00
_cell_angle_gamma 90.00
_space_group_name_H-M_alt 'F m -3 m'
_space_group_IT_number 225
_space_group_name_Hall '-F 4 2 3'
loop_
_atom_site_label
_atom_site_type_symbol
_atom_site_fract_x
_atom_site_fract_y
_atom_site_fract_z
Tc1 Tc 0.0000 0.0000 0.0000
Hg1 Hg 0.0000 0.0000 0.5000
Hg2 Hg 0.2500 0.2500 0.2500
```



7.
Entry from Alexandria via LeMat-Bulk: a PBEsol-optimized structure of Ca19Mg8H54 (SCAN).

E in eV for the cell shown: -909.98

```
data_Ca19Mg8H54
_chemical_formula_sum 'Ca38 Mg16 H108'
_cell_length_a 12.0249
_cell_length_b 12.0249
_cell_length_c 12.0249
_cell_angle_alpha 90.00
_cell_angle_beta 90.00
_cell_angle_gamma 90.00
_space_group_name_H-M_alt 'I m -3'
_space_group_IT_number 204
_space_group_name_Hall '-I 2 2 3'
loop_
_atom_site_label
_atom_site_type_symbol
_atom_site_fract_x
_atom_site_fract_y
_atom_site_fract_z
Ca1 Ca 0.0000 0.0000 0.0000
Ca2 Ca 0.0000 0.0000 0.3318
Ca3 Ca 0.0000 0.3123 0.3461
Mg1 Mg 0.1586 0.1586 0.1586
H1 H 0.0000 0.1151 0.5000
H2 H 0.0000 0.1720 0.1101
H3 H 0.0000 0.3970 0.1807
H4 H 0.1129 0.1680 0.3132
```



8.
Entry from Alexandria via LeMat-Bulk: a PBEsol-optimized structure of U3Si (SCAN).

E in eV for the cell shown: -1285.08
Formation energy (no corrections) in meV per atom: -168

```
data_U3Si
_chemical_formula_sum 'U12 Si4'
_cell_length_a 5.9085
_cell_length_b 5.9085
_cell_length_c 8.3987
_cell_angle_alpha 90.00
_cell_angle_beta 90.00
_cell_angle_gamma 90.00
_space_group_name_H-M_alt 'I 4/m c m'
_space_group_IT_number 140
_space_group_name_Hall '-I 4 2c'
loop_
_atom_site_label
_atom_site_type_symbol
_atom_site_fract_x
_atom_site_fract_y
_atom_site_fract_z
U1 U 0.0000 0.5000 0.2500
U2 U 0.2200 0.2800 0.0000
Si1 Si 0.0000 0.0000 0.2500
```



9.
Entry from Alexandria via LeMat-Bulk: a PBEsol-optimized structure of Cd2TcBr (SCAN).

E in eV for the cell shown: -225.44
Formation energy (no corrections) in meV per atom: 657

```
data_Cd2TcBr
_chemical_formula_sum 'Cd4 Tc2 Br2'
_cell_length_a 4.1916
_cell_length_b 4.1916
_cell_length_c 8.8222
_cell_angle_alpha 90.00
_cell_angle_beta 90.00
_cell_angle_gamma 90.00
_space_group_name_H-M_alt 'I -4 m 2'
_space_group_IT_number 119
_space_group_name_Hall 'I -4 -2'
loop_
_atom_site_label
_atom_site_type_symbol
_atom_site_fract_x
_atom_site_fract_y
_atom_site_fract_z
Cd1 Cd 0.0000 0.0000 0.0000
Cd2 Cd 0.0000 0.5000 0.2500
Tc1 Tc 0.0000 0.0000 0.5000
Br1 Br 0.0000 0.5000 0.7500
```



10.
Entry from Alexandria via LeMat-Bulk: a PBEsol-optimized structure of AlTc2Ni (SCAN).

E in eV for the cell shown: -189.48
ΔH_f (0 K) in eV/atom: -0.174

```
data_AlTc2Ni
_chemical_formula_sum 'Al2 Tc4 Ni2'
_cell_length_a 3.6063
_cell_length_b 3.6063
_cell_length_c 8.0404
_cell_angle_alpha 90.00
_cell_angle_beta 90.00
_cell_angle_gamma 90.00
_space_group_name_H-M_alt 'I 4/m m m'
_space_group_IT_number 139
_space_group_name_Hall '-I 4 2'
loop_
_atom_site_label
_atom_site_type_symbol
_atom_site_fract_x
_atom_site_fract_y
_atom_site_fract_z
Al1 Al 0.0000 0.0000 0.0000
Tc1 Tc 0.0000 0.5000 0.2500
Ni1 Ni 0.0000 0.0000 0.5000
```



11.
Entry from Alexandria via LeMat-Bulk: a PBEsol-optimized structure of AlHg2W (SCAN).

E in eV for the cell shown: -211.41
ΔH_f (0 K) in eV/atom: 0.590

```
data_AlHg2W
_chemical_formula_sum 'Al1 Hg2 W1'
_cell_length_a 4.0382
_cell_length_b 4.0382
_cell_length_c 4.2815
_cell_angle_alpha 90.00
_cell_angle_beta 90.00
_cell_angle_gamma 90.00
_space_group_name_H-M_alt 'P 4/m m m'
_space_group_IT_number 123
_space_group_name_Hall '-P 4 2'
loop_
_atom_site_label
_atom_site_type_symbol
_atom_site_fract_x
_atom_site_fract_y
_atom_site_fract_z
Al1 Al 0.0000 0.0000 0.0000
Hg1 Hg 0.0000 0.5000 0.5000
W1 W 0.5000 0.5000 0.0000
```



12.
Entry from Alexandria via LeMat-Bulk: a PBEsol-optimized structure of TlCo2Re (SCAN).

Energy above the most stable polymorph in this dataset in meV per atom: 0
E in eV for the cell shown: -175.69
ΔH_f (0 K) in eV/atom: 0.595

```
data_TlCo2Re
_chemical_formula_sum 'Tl1 Co2 Re1'
_cell_length_a 4.2464
_cell_length_b 4.2464
_cell_length_c 3.0938
_cell_angle_alpha 90.00
_cell_angle_beta 90.00
_cell_angle_gamma 90.00
_space_group_name_H-M_alt 'P 4/m m m'
_space_group_IT_number 123
_space_group_name_Hall '-P 4 2'
loop_
_atom_site_label
_atom_site_type_symbol
_atom_site_fract_x
_atom_site_fract_y
_atom_site_fract_z
Tl1 Tl 0.0000 0.0000 0.0000
Co1 Co 0.0000 0.5000 0.5000
Re1 Re 0.5000 0.5000 0.0000
```



| no. | Fermi-level density of states (states/eV/cell) |
| --- | --- |
| 1 | 0.0 |
| 2 | 5.7 |
| 3 | 4.6 |
| 4 | 1.5 |
| 5 | 1.3 |
| 6 | 9.9 |
| 7 | 0.0 |
| 8 | 30.8 |
| 9 | 4.0 |
| 10 | 8.7 |
| 11 | 2.0 |
| 12 | 1.3 |